# NdY3Tm3 (PBE, relaxed)
data_NdY3Tm3
_chemical_formula_sum 'Nd3 Y9 Tm9'
_symmetry_space_group_name_H-M 'R 3 m'
_symmetry_Int_Tables_number 160
_symmetry_space_group_name_Hall 'R 3 -2"'
_cell_length_a 9.8409
_cell_length_b 9.8409
_cell_length_c 8.1575
_cell_angle_alpha 90.00
_cell_angle_beta 90.00
_cell_angle_gamma 120.00
loop_
_atom_site_label
_atom_site_type_symbol
_atom_site_fract_x
_atom_site_fract_y
_atom_site_fract_z
Nd1 Nd 0.0000 0.0000 0.0000
Y1 Y 0.0968 0.5484 0.9651
Tm1 Tm 0.0638 0.5319 0.3914
# - DOS(E_F): 31.932 states/eV/cell
# - Formation enthalpy at 0 K: 0.25 eV/atom